The following is a PBE calculation of BaTlPdAu after structural relaxation, from Alexandria.

Its energy above the most stable polymorph in this dataset is 0.126 eV per atom. For the theoretical density, the calculation gives 10.0 g cm⁻³. The calculation puts the energy at -3.524 eV/atom. The formation energy is -0.334 eV per atom.

The structure belongs to space group F-43m (No. 216); the cell edges are 7.5273, 7.5273 and 7.5273 Å and the angles 90.00°, 90.00° and 90.00°. The asymmetric unit holds Ba at (0.0000, 0.0000, 0.0000), Tl at (0.0000, 0.0000, 0.5000), Pd at (0.2500, 0.2500, 0.2500) and Au at (0.2500, 0.2500, 0.7500).